DFT (PBE) results for Th2VAu after structural relaxation.

Cell: 3.344 3.344 10.719 Å, 81.03 81.03 60.00°
Each line ends with the local moment (μB).
Element x y z (fractional)
Au 0.500 0.500 0.500  -0.01
Th 0.086 0.086 0.741  -0.01
Th 0.914 0.914 0.259  -0.01
V 0.000 0.000 0.000  2.05

Results
formation energy from the elements	1.8	eV per formula unit
V	102.1	Å³ per cell
space-group type	No. 166

DFT (PBE) results for YTh2Au after structural relaxation.

Cell: 3.460 3.460 11.777 Å, 81.55 81.55 60.00°
Element x y z (fractional)
Y 0.000 0.000 0.000
Th 0.903 0.903 0.290
Th 0.097 0.097 0.710
Au 0.500 0.500 0.500

Results
formation energy from the elements	0.2	eV per formula unit
V	120.3	Å³ per cell
space-group type	No. 166
energy above the lowest structure with this stoichiometry	282	meV/atom